# 1
# Li3DyCd3, optimized geometry, DFT GGA-PBE
data_Li3DyCd3
_chemical_formula_sum 'Li6 Dy2 Cd6'
_cell_length_a 6.9545
_cell_length_b 6.9545
_cell_length_c 6.9545
_cell_angle_alpha 90.00
_cell_angle_beta 90.00
_cell_angle_gamma 90.00
_space_group_name_H-M_alt 'P m -3 n'
_space_group_IT_number 223
_space_group_name_Hall '-P 4n 2 3'
loop_
_atom_site_label
_atom_site_type_symbol
_atom_site_fract_x
_atom_site_fract_y
_atom_site_fract_z
_atom_site_occupancy
Li1 Li 0.0000 0.2500 0.5000 1
Dy1 Dy 0.0000 0.0000 0.0000 1
Cd1 Cd 0.0000 0.5000 0.2500 1
# Magnetic moment = 0.00 Bohr magnetons per cell
# Total energy = -1.64 eV per atom


# 2
# LiDy2Cd5, optimized geometry, DFT GGA-PBE
data_LiDy2Cd5
_chemical_formula_sum 'Li2 Dy4 Cd10'
_cell_length_a 4.8868
_cell_length_b 4.8868
_cell_length_c 15.5244
_cell_angle_alpha 90.00
_cell_angle_beta 90.00
_cell_angle_gamma 90.00
_space_group_name_H-M_alt 'I 4/m m m'
_space_group_IT_number 139
_space_group_name_Hall '-I 4 2'
loop_
_atom_site_label
_atom_site_type_symbol
_atom_site_fract_x
_atom_site_fract_y
_atom_site_fract_z
_atom_site_occupancy
Li1 Li 0.0000 0.0000 0.0000 1
Dy1 Dy 0.0000 0.0000 0.2561 1
Cd1 Cd 0.0000 0.0000 0.5000 1
Cd2 Cd 0.0000 0.5000 0.1128 1
# Magnetic moment = 0.67 Bohr magnetons per cell
# Total energy = -2.21 eV per atom


# 3
# LiDyCd4, optimized geometry, DFT GGA-PBE
data_LiDyCd4
_chemical_formula_sum 'Li2 Dy2 Cd8'
_cell_length_a 9.9030
_cell_length_b 3.9439
_cell_length_c 7.3812
_cell_angle_alpha 90.00
_cell_angle_beta 109.51
_cell_angle_gamma 90.00
_space_group_name_H-M_alt 'C 1 2/m 1'
_space_group_IT_number 12
loop_
_space_group_symop_operation_xyz
'x,y,z'
'-x,-y,-z'
'-x,y,-z'
'x,-y,z'
'x+1/2,y+1/2,z'
'-x+1/2,-y+1/2,-z'
'-x+1/2,y+1/2,-z'
'x+1/2,-y+1/2,z'
loop_
_atom_site_label
_atom_site_type_symbol
_atom_site_fract_x
_atom_site_fract_y
_atom_site_fract_z
_atom_site_occupancy
Li1 Li 0.0000 0.0000 0.0000 1
Dy1 Dy 0.0000 0.0000 0.5000 1
Cd1 Cd 0.1617 0.5000 0.2992 1
Cd2 Cd 0.1658 0.5000 0.8514 1
# Magnetic moment = 0.00 Bohr magnetons per cell
# ΔE to the lowest computed polymorph = 29 meV per atom


# 4
# LiDy4Cd5, optimized geometry, DFT GGA-PBE
data_LiDy4Cd5
_chemical_formula_sum 'Li1 Dy4 Cd5'
_cell_length_a 3.6660
_cell_length_b 3.6660
_cell_length_c 18.5676
_cell_angle_alpha 90.00
_cell_angle_beta 90.00
_cell_angle_gamma 90.00
_space_group_name_H-M_alt 'P 4/m m m'
_space_group_IT_number 123
_space_group_name_Hall '-P 4 2'
loop_
_atom_site_label
_atom_site_type_symbol
_atom_site_fract_x
_atom_site_fract_y
_atom_site_fract_z
_atom_site_occupancy
Li1 Li 0.0000 0.0000 0.0000 1
Dy1 Dy 0.0000 0.0000 0.1905 1
Dy2 Dy 0.0000 0.0000 0.3964 1
Cd1 Cd 0.5000 0.5000 0.0848 1
Cd2 Cd 0.5000 0.5000 0.2938 1
Cd3 Cd 0.5000 0.5000 0.5000 1
# Magnetic moment = 0.00 Bohr magnetons per cell
# Total energy = -2.78 eV per atom


Repeat the fourth record exactly.
# LiDy4Cd5, optimized geometry, DFT GGA-PBE
data_LiDy4Cd5
_chemical_formula_sum 'Li1 Dy4 Cd5'
_cell_length_a 3.6660
_cell_length_b 3.6660
_cell_length_c 18.5676
_cell_angle_alpha 90.00
_cell_angle_beta 90.00
_cell_angle_gamma 90.00
_space_group_name_H-M_alt 'P 4/m m m'
_space_group_IT_number 123
_space_group_name_Hall '-P 4 2'
loop_
_atom_site_label
_atom_site_type_symbol
_atom_site_fract_x
_atom_site_fract_y
_atom_site_fract_z
_atom_site_occupancy
Li1 Li 0.0000 0.0000 0.0000 1
Dy1 Dy 0.0000 0.0000 0.1905 1
Dy2 Dy 0.0000 0.0000 0.3964 1
Cd1 Cd 0.5000 0.5000 0.0848 1
Cd2 Cd 0.5000 0.5000 0.2938 1
Cd3 Cd 0.5000 0.5000 0.5000 1
# Magnetic moment = 0.00 Bohr magnetons per cell
# Total energy = -2.78 eV per atom


magnetic moment of number 4 (LiDy4Cd5)? 0.00 Bohr magnetons per cell


magnetic moment of number 4 (LiDy4Cd5)? 0.00 Bohr magnetons per cell